# RbMgTlBr6, relaxed, DFT GGA-PBE
data_RbMgTlBr6
_cell_length_a 7.1316
_cell_length_b 12.3653
_cell_length_c 7.7174
_cell_angle_alpha 90.00
_cell_angle_beta 90.06
_cell_angle_gamma 90.00
_space_group_name_H-M_alt 'C 1 2 1'
_space_group_IT_number 5
_space_group_name_Hall 'C 2y'
loop_
_atom_site_label
_atom_site_type_symbol
_atom_site_fract_x
_atom_site_fract_y
_atom_site_fract_z
Rb1 Rb 0.0000 0.0000 0.0000
Mg1 Mg 0.0000 0.3334 0.5000
Tl1 Tl 0.0000 0.6666 0.5000
Br1 Br 0.1257 0.4943 0.2932
Br2 Br 0.1783 0.1901 0.2931
Br3 Br 0.1954 0.8157 0.2931
# Electronic total energy: -49.7 eV for the cell shown
# ΔE_f (raw): -1.10 eV/atom